# Pr2AlGa4Ag3, optimized geometry, DFT GGA-PBE
# Formation energy from the elements ... -39.6 kJ per mole of atoms
# Crystal system ... tetragonal
# VASP energy ... -3.806 eV per atom
data_Pr2AlGa4Ag3
_symmetry_space_group_name_H-M 'P 1'
_symmetry_Int_Tables_number 1
_cell_length_a 4.346
_cell_length_b 4.346
_cell_length_c 11.083
_cell_angle_alpha 90.00
_cell_angle_beta 90.00
_cell_angle_gamma 90.00
loop_
_symmetry_equiv_pos_as_xyz
'x,y,z'
loop_
_atom_site_label
_atom_site_fract_x
_atom_site_fract_y
_atom_site_fract_z
Ag1 0.500 0.000 0.866
Ag2 0.000 0.000 0.500
Ag3 0.000 0.500 0.134
Pr1 0.500 0.000 0.251
Pr2 0.000 0.500 0.749
Al1 0.500 0.500 0.500
Ga1 0.000 0.500 0.362
Ga2 0.500 0.500 0.000
Ga3 0.500 0.000 0.638
Ga4 0.000 0.000 0.000